Entry 1:
{"formula": "Eu2Ni4N", "functional": "PBE", "state": "relaxed", "lattice_angstrom": [[-3.372, -1.859, 0.025], [0.621, -1.177, -3.614], [2.225, -8.012, 0.939]], "species": ["Eu", "Eu", "Ni", "Ni", "Ni", "Ni", "N"], "frac_coords": [[0.667, 0.667, 0.666], [0.333, 0.333, 0.334], [0.883, 0.883, 0.234], [0.117, 0.117, 0.766], [0.000, 0.500, 0.000], [0.500, 0.000, 0.000], [0.000, 0.000, 0.000]], "vol_a3_per_cell": 117.34}

Entry 2:
{"formula": "EuNpN", "functional": "PBE", "state": "relaxed", "lattice_angstrom": [[6.504, 0.000, 0.000], [0.000, 3.439, 0.000], [0.000, -1.720, 2.978]], "species": ["Np", "Eu", "N"], "frac_coords": [[0.212, 0.333, 0.667], [0.762, 0.667, 0.333], [0.026, 0.000, 0.000]], "vol_a3_per_cell": 66.62, "relative_energy_kj_per_mol_atoms": 0.0}

Entry 3:
{"formula": "EuNpN2", "functional": "PBE", "state": "relaxed", "lattice_angstrom": [[3.522, 0.000, 0.000], [1.761, 3.050, 0.000], [1.761, 1.017, 5.833]], "species": ["Np", "Eu", "N", "N"], "frac_coords": [[0.000, 0.000, 0.000], [0.500, 0.500, 0.500], [0.265, 0.265, 0.205], [0.735, 0.735, 0.795]], "vol_a3_per_cell": 62.65}

Entry 4:
{"formula": "EuNpN", "functional": "PBE", "state": "relaxed", "lattice_angstrom": [[3.193, 0.000, 0.000], [0.000, 3.193, 0.000], [-1.597, -1.597, 6.469]], "species": ["Np", "Eu", "N"], "frac_coords": [[0.268, 0.268, 0.536], [0.016, 0.016, 0.032], [0.716, 0.716, 0.432]], "vol_a3_per_cell": 65.96, "relative_energy_kj_per_mol_atoms": 29.2}

Entry 5:
{"formula": "Eu2NO", "functional": "PBE", "state": "relaxed", "lattice_angstrom": [[3.588, 0.000, 0.000], [1.794, 3.107, 0.000], [1.794, 1.036, 5.875]], "species": ["Eu", "Eu", "O", "N"], "frac_coords": [[0.748, 0.748, 0.755], [0.252, 0.252, 0.245], [0.500, 0.500, 0.500], [0.000, 0.000, 0.000]], "vol_a3_per_cell": 65.49}

Entry 6:
{"formula": "Eu3Si6N4O9", "functional": "PBE", "state": "relaxed", "lattice_angstrom": [[-6.456, -2.746, 1.381], [5.847, -4.038, 0.797], [0.510, 1.989, 6.337]], "species": ["Eu", "Eu", "Eu", "Si", "Si", "Si", "Si", "Si", "Si", "N", "N", "N", "N", "O", "O", "O", "O", "O", "O", "O", "O", "O"], "frac_coords": [[0.000, 0.000, 0.521], [0.333, 0.667, 0.418], [0.667, 0.333, 0.376], [0.931, 0.377, 0.838], [0.446, 0.069, 0.838], [0.623, 0.554, 0.838], [0.742, 0.962, 0.064], [0.220, 0.258, 0.064], [0.038, 0.780, 0.064], [0.000, 0.000, 0.025], [0.706, 0.127, 0.898], [0.421, 0.294, 0.898], [0.873, 0.579, 0.898], [0.584, 0.704, 0.005], [0.120, 0.416, 0.005], [0.296, 0.880, 0.005], [0.700, 0.998, 0.296], [0.298, 0.300, 0.296], [0.002, 0.702, 0.296], [0.000, 0.375, 0.607], [0.375, 0.000, 0.607], [0.625, 0.625, 0.607]], "vol_a3_per_cell": 294.98}

Entry 7:
{"formula": "EuTaNO2", "functional": "PBE", "state": "relaxed", "lattice_angstrom": [[4.028, 0.000, 0.000], [0.000, 4.028, 0.000], [0.000, 0.000, 4.116]], "species": ["Eu", "Ta", "N", "O", "O"], "frac_coords": [[0.000, 0.000, 0.000], [0.500, 0.500, 0.500], [0.500, 0.500, 0.000], [0.500, 0.000, 0.500], [0.000, 0.500, 0.500]], "vol_a3_per_cell": 66.79}

Entry 8:
{"formula": "Eu3Os5N12", "functional": "PBE", "state": "relaxed", "lattice_angstrom": [[-0.684, 0.769, -11.133], [-6.176, -8.627, 3.526], [-3.800, 9.442, 4.628]], "species": ["Eu", "Eu", "Eu", "Eu", "Eu", "Eu", "Eu", "Eu", "Eu", "Eu", "Eu", "Eu", "Os", "Os", "Os", "Os", "Os", "Os", "Os", "Os", "Os", "Os", "Os", "Os", "Os", "Os", "Os", "Os", "Os", "Os", "Os", "Os", "N", "N", "N", "N", "N", "N", "N", "N", "N", "N", "N", "N", "N", "N", "N", "N", "N", "N", "N", "N", "N", "N", "N", "N", "N", "N", "N", "N", "N", "N", "N", "N", "N", "N", "N", "N", "N", "N", "N", "N", "N", "N", "N", "N", "N", "N", "N", "N"], "frac_coords": [[0.750, 0.375, 0.125], [0.875, 0.750, 0.125], [0.375, 0.750, 0.625], [0.250, 0.125, 0.375], [0.875, 0.125, 0.250], [0.375, 0.625, 0.250], [0.625, 0.375, 0.750], [0.125, 0.875, 0.750], [0.750, 0.875, 0.625], [0.625, 0.250, 0.375], [0.125, 0.250, 0.875], [0.250, 0.625, 0.875], [0.125, 0.375, 0.250], [0.000, 0.500, 0.000], [0.000, 0.000, 0.000], [0.375, 0.250, 0.125], [0.500, 0.000, 0.500], [0.500, 0.500, 0.000], [0.125, 0.750, 0.375], [0.750, 0.125, 0.875], [0.750, 0.625, 0.375], [0.375, 0.125, 0.750], [0.625, 0.875, 0.250], [0.500, 0.500, 0.500], [0.500, 0.000, 0.000], [0.000, 0.000, 0.500], [0.250, 0.375, 0.625], [0.250, 0.875, 0.125], [0.000, 0.500, 0.500], [0.875, 0.250, 0.625], [0.625, 0.750, 0.875], [0.875, 0.625, 0.750], [0.689, 0.112, 0.006], [0.317, 0.506, 0.394], [0.994, 0.388, 0.311], [0.506, 0.189, 0.112], [0.577, 0.689, 0.683], [0.994, 0.606, 0.183], [0.317, 0.811, 0.423], [0.106, 0.923, 0.112], [0.606, 0.994, 0.683], [0.689, 0.577, 0.183], [0.811, 0.494, 0.388], [0.817, 0.894, 0.006], [0.112, 0.689, 0.506], [0.388, 0.394, 0.077], [0.077, 0.894, 0.388], [0.423, 0.112, 0.606], [0.077, 0.183, 0.189], [0.494, 0.683, 0.106], [0.817, 0.923, 0.311], [0.112, 0.423, 0.106], [0.388, 0.994, 0.811], [0.606, 0.612, 0.423], [0.894, 0.817, 0.506], [0.811, 0.317, 0.923], [0.394, 0.388, 0.577], [0.106, 0.183, 0.494], [0.189, 0.683, 0.077], [0.183, 0.077, 0.689], [0.612, 0.006, 0.189], [0.888, 0.577, 0.894], [0.506, 0.317, 0.894], [0.577, 0.888, 0.394], [0.923, 0.817, 0.811], [0.923, 0.106, 0.612], [0.888, 0.311, 0.494], [0.183, 0.106, 0.994], [0.612, 0.606, 0.923], [0.394, 0.006, 0.317], [0.311, 0.423, 0.817], [0.189, 0.506, 0.612], [0.894, 0.077, 0.888], [0.683, 0.189, 0.577], [0.494, 0.811, 0.888], [0.006, 0.394, 0.817], [0.423, 0.311, 0.317], [0.006, 0.612, 0.689], [0.683, 0.494, 0.606], [0.311, 0.888, 0.994]], "vol_a3_per_cell": 1075.94}

What spin magnetization values result from the calculations? In sequence: 13.11, 2.98, 9.98, 3.58, 13.00, 6.92, 6.86, 19.43 μB per formula unit.
What formation energy (no corrections) values result from the calculations? In sequence: -0.069, -0.453, -1.163, -0.151, -1.885, -2.353, -2.328, -0.110 eV per atom.
What raw total energy values result from the calculations? In sequence: -52.48, -32.90, -44.52, -31.99, -41.37, -193.06, -52.01, -756.32 eV/cell.